A plane-wave DFT calculation with PBE-GGA was carried out for a relaxed structure of Ba2TmCd3Hg12.

Calculated values
Spin magnetization   0.00 μB per formula unit
ΔE_f   -170.0 meV per atom
Density of states at the Fermi level   28.71 states/eV per cell

abc: 7.1133 7.1133 37.3487
angles: 90.00 90.00 120.00
Last column: nearest neighbours and their distance in Å.
Space group R-3m (No. 166, hexagonal axes)
Inequivalent atoms, fractional coordinates:
Ba 0.0000 0.0000 0.1372  12 Hg 3.62-3.74
Tm 0.0000 0.0000 0.5000  6 Hg 2.98
Cd 0.0000 0.5000 0.0000  4 Hg 2.96
Hg 0.0134 0.5067 0.8890  1 Tm 2.98, 2 Hg 3.06
Hg 0.0411 0.5206 0.6135  2 Cd 2.96, 4 Hg 3.06-3.12

---

A plane-wave DFT calculation with PBE-GGA was carried out for a relaxed structure of Pm10Nd4Er.

Calculated values
Spin magnetization   0.00 μB per formula unit
ΔE_f   228.9 meV per atom
Density of states at the Fermi level   43.77 states/eV per cell

abc: 11.5338 11.5338 7.9698
angles: 90.00 90.00 90.00
Last column: nearest neighbours and their distance in Å.
Space group I4/mmm (No. 139)
Inequivalent atoms, fractional coordinates:
Pm 0.0000 0.2109 0.2101  4 Pm 3.35-3.44, 1 Er 3.35, 4 Nd 3.51-3.62
Pm 0.0000 0.5000 0.2500  4 Pm 3.35
Nd 0.2281 0.2281 0.5000  8 Pm 3.51-3.62, 1 Er 3.72
Er 0.0000 0.0000 0.5000  8 Pm 3.35, 4 Nd 3.72